1.
SrLi2MgGa | PBE | optimized geometry

Results
N(E_F) ... 1.821 states/eV per cell
SG ... P4/mmm
E_form ... -0.077 eV per atom

abc: 5.112 5.112 5.129
angles: 90.00 90.00 90.00
Sites, in units of the cell vectors:
Ga  0.000  0.000  0.000
Li  0.500  0.000  0.000
Li  0.000  0.500  0.000
Sr  0.500  0.500  0.500
Mg  0.000  0.000  0.500


2.
Tb2Nd2SmTm2 | PBE | optimized geometry

Results
N(E_F) ... 11.926 states/eV per cell
SG ... C2/m
E_form ... 0.086 eV per atom

abc: 3.529 6.120 11.874
angles: 71.55 90.00 106.76
Sites, in units of the cell vectors:
Tm  0.226  0.451  0.636
Tm  0.774  0.549  0.364
Sm  0.000  0.000  0.500
Tb  0.550  0.101  0.230
Tb  0.450  0.899  0.770
Nd  0.330  0.660  0.084
Nd  0.670  0.340  0.916


3.
PmPAu | PBE | optimized geometry

Results
N(E_F) ... 1.608 states/eV per cell
SG ... I4mm
E_form ... -0.632 eV per atom

abc: 3.953 3.953 5.181
angles: 112.42 112.42 90.00
Sites, in units of the cell vectors:
Au  0.962  0.962  0.924
Pm  0.629  0.629  0.257
P  0.260  0.260  0.519


4.
HfScAg | PBE | optimized geometry

Results
N(E_F) ... 3.913 states/eV per cell
SG ... F-43m
E_form ... 0.820 eV per atom

abc: 4.671 4.671 4.671
angles: 60.00 60.00 60.00
Sites, in units of the cell vectors:
Ag  0.750  0.750  0.750
Hf  0.500  0.500  0.500
Sc  0.250  0.250  0.250


Question: The highest N(E_F) belongs to which entry?
Answer: Tb2Nd2SmTm2


Question: Look up the E_form of the fourth one.
Answer: 0.820 eV per atom